Record 1
Entry from Alexandria via LeMat-Bulk: a relaxed P2AuS crystal (GGA-PBE).

a b c (Å): 9.676 3.199 7.023
angles (deg): 90.00 127.24 90.00
Space group C2/m (No. 12)
Inequivalent atoms, fractional coordinates:
P: 0.143 0.000 0.415 (multiplicity 4)
Au: 0.000 0.000 0.000 (multiplicity 2)
S: 0.000 0.500 0.500 (multiplicity 2)

uncorrected formation energy: 0.127 eV/atom



Record 2
Entry from Alexandria via LeMat-Bulk: a relaxed P2AuS crystal (GGA-PBE).

a b c (Å): 3.448 4.315 5.839
angles (deg): 97.22 94.95 90.02
Space group P1 (No. 1)
Inequivalent atoms, fractional coordinates:
P: 0.000 0.000 0.000 (multiplicity 1)
P: 0.465 0.960 0.745 (multiplicity 1)
Au: 0.065 0.531 0.163 (multiplicity 1)
S: 0.463 0.524 0.563 (multiplicity 1)

uncorrected formation energy: 0.074 eV/atom



Record 3
Entry from Alexandria via LeMat-Bulk: a relaxed P2AuS crystal (GGA-PBE).

a b c (Å): 3.395 5.201 5.813
angles (deg): 91.51 106.65 101.83
Space group P1 (No. 1)
Inequivalent atoms, fractional coordinates:
P: 0.000 0.000 0.000 (multiplicity 1)
P: 0.485 0.213 0.832 (multiplicity 1)
Au: 0.268 0.148 0.413 (multiplicity 1)
S: 0.513 0.559 0.017 (multiplicity 1)

uncorrected formation energy: 0.082 eV/atom



Record 4
Entry from Alexandria via LeMat-Bulk: a relaxed PAuS2 crystal (GGA-PBE).

a b c (Å): 3.729 5.124 5.868
angles (deg): 80.36 90.00 68.87
Space group P1 (No. 1)
Inequivalent atoms, fractional coordinates:
P: 0.000 0.000 0.000 (multiplicity 1)
Au: 0.563 0.874 0.765 (multiplicity 1)
S: 0.162 0.674 0.582 (multiplicity 1)
S: 0.191 0.614 0.238 (multiplicity 1)

uncorrected formation energy: 0.104 eV/atom



Record 5
Entry from Alexandria via LeMat-Bulk: a relaxed PAuS2 crystal (GGA-PBE).

a b c (Å): 3.6330 3.6330 21.6745
angles (deg): 90.00 90.00 120.00
Space group R-3m (No. 166, hexagonal axes)
Inequivalent atoms, fractional coordinates:
P: 0.0000 0.0000 0.0000 (multiplicity 3)
Au: 0.0000 0.0000 0.5000 (multiplicity 3)
S: 0.0000 0.0000 0.3936 (multiplicity 6)

uncorrected formation energy: 0.118 eV/atom



Record 6
Entry from Alexandria via LeMat-Bulk: a relaxed PAuS2 crystal (GGA-PBE).

a b c (Å): 5.605 3.247 5.962
angles (deg): 90.00 108.93 90.00
Space group Pm (No. 6)
Inequivalent atoms, fractional coordinates:
P: 0.000 0.000 0.000 (multiplicity 1)
Au: 0.652 0.000 0.124 (multiplicity 1)
S: 0.001 0.500 0.756 (multiplicity 1)
S: 0.318 0.000 0.282 (multiplicity 1)

uncorrected formation energy: -0.111 eV/atom



Record 7
Entry from Alexandria via LeMat-Bulk: a relaxed PAuS4 crystal (GGA-PBE).

a b c (Å): 7.727 7.771 9.146
angles (deg): 90.00 90.00 90.00
Space group C222_1 (No. 20)
Inequivalent atoms, fractional coordinates:
P: 0.000 0.155 0.250 (multiplicity 4)
Au: 0.246 0.500 0.500 (multiplicity 4)
S: 0.017 0.270 0.046 (multiplicity 8)
S: 0.228 0.023 0.259 (multiplicity 8)

uncorrected formation energy: 0.020 eV/atom



Record 8
Entry from Alexandria via LeMat-Bulk: a relaxed PAuS2 crystal (GGA-PBE).

a b c (Å): 8.880 5.180 4.741
angles (deg): 90.00 121.87 90.00
Space group C2 (No. 5)
Inequivalent atoms, fractional coordinates:
P: 0.000 0.000 0.000 (multiplicity 2)
Au: 0.000 0.723 0.500 (multiplicity 2)
S: 0.189 0.290 0.192 (multiplicity 4)

uncorrected formation energy: 0.079 eV/atom



Record 9
Entry from Alexandria via LeMat-Bulk: a relaxed P2AuS crystal (GGA-PBE).

a b c (Å): 3.503 3.732 6.889
angles (deg): 93.79 104.22 104.71
Space group P1 (No. 1)
Inequivalent atoms, fractional coordinates:
P: 0.000 0.000 0.000 (multiplicity 1)
P: 0.327 0.608 0.893 (multiplicity 1)
Au: 0.207 0.441 0.553 (multiplicity 1)
S: 0.281 0.007 0.301 (multiplicity 1)

uncorrected formation energy: 0.089 eV/atom



Record 10
Entry from Alexandria via LeMat-Bulk: a relaxed P2AuS crystal (GGA-PBE).

a b c (Å): 6.286 7.246 4.368
angles (deg): 90.00 127.64 90.00
Space group C2 (No. 5)
Inequivalent atoms, fractional coordinates:
P: 0.167 0.000 0.466 (multiplicity 4)
Au: 0.000 0.728 0.000 (multiplicity 2)
S: 0.000 0.195 0.000 (multiplicity 2)

uncorrected formation energy: 0.026 eV/atom



Record 11
Entry from Alexandria via LeMat-Bulk: a relaxed P2AuS crystal (GGA-PBE).

a b c (Å): 3.5187 3.5187 18.4504
angles (deg): 90.00 90.00 120.00
Space group R3m (No. 160, hexagonal axes)
Inequivalent atoms, fractional coordinates:
P: 0.0000 0.0000 0.0000 (multiplicity 3)
P: 0.0000 0.0000 0.2656 (multiplicity 3)
Au: 0.0000 0.0000 0.7553 (multiplicity 3)
S: 0.0000 0.0000 0.5174 (multiplicity 3)

uncorrected formation energy: 0.160 eV/atom



Record 12
Entry from Alexandria via LeMat-Bulk: a relaxed PAuS2 crystal (GGA-PBE).

a b c (Å): 3.647 4.400 6.396
angles (deg): 100.12 106.33 90.00
Space group P1 (No. 1)
Inequivalent atoms, fractional coordinates:
P: 0.000 0.000 0.000 (multiplicity 1)
Au: 0.557 0.710 0.115 (multiplicity 1)
S: 0.125 0.403 0.253 (multiplicity 1)
S: 0.851 0.077 0.698 (multiplicity 1)

uncorrected formation energy: -0.093 eV/atom